1.
A relaxed LaY2Ag crystal. Source: Alexandria via LeMat-Bulk, functional PBEsol.

* calculated formation energy: -0.14 eV/atom

Unit cell a=3.6053 b=3.6053 c=8.4965 alpha=90.00 beta=90.00 gamma=90.00
Space group P4/mmm (No. 123)
Asymmetric unit:
La 0.0000 0.0000 0.0000 (multiplicity 1)
Y 0.5000 0.5000 0.2951 (multiplicity 2)
Ag 0.0000 0.0000 0.5000 (multiplicity 1)

---

2.
A relaxed LaY2Ag crystal. Source: Alexandria via LeMat-Bulk, functional PBEsol.

* calculated formation energy: -0.10 eV/atom

Unit cell a=3.6729 b=5.4878 c=11.2288 alpha=90.00 beta=90.00 gamma=90.00
Space group Immm (No. 71)
Asymmetric unit:
La 0.0000 0.0000 0.0000 (multiplicity 2)
Y 0.0000 0.5000 0.2160 (multiplicity 4)
Ag 0.0000 0.0000 0.5000 (multiplicity 2)

---

3.
A relaxed LaYAg crystal. Source: Alexandria via LeMat-Bulk, functional PBEsol.

* calculated formation energy: -0.15 eV/atom

Unit cell a=3.6389 b=3.6389 c=12.5036 alpha=90.00 beta=90.00 gamma=90.00
Space group I4mm (No. 107)
Asymmetric unit:
La 0.0000 0.0000 0.0000 (multiplicity 2)
Y 0.0000 0.0000 0.7068 (multiplicity 2)
Ag 0.0000 0.0000 0.3356 (multiplicity 2)

---

4.
A relaxed LaY2Ag crystal. Source: Alexandria via LeMat-Bulk, functional PBEsol.

* calculated formation energy: -0.10 eV/atom

Unit cell a=3.6073 b=3.6073 c=8.7220 alpha=90.00 beta=90.00 gamma=90.00
Space group P4mm (No. 99)
Asymmetric unit:
La 0.0000 0.0000 0.0000 (multiplicity 1)
Y 0.0000 0.0000 0.5706 (multiplicity 1)
Y 0.5000 0.5000 0.2924 (multiplicity 1)
Ag 0.5000 0.5000 0.7622 (multiplicity 1)

---

5.
A relaxed La2YAg2 crystal. Source: Alexandria via LeMat-Bulk, functional PBEsol.

* calculated formation energy: -0.18 eV/atom

Unit cell a=8.4011 b=8.4011 c=3.9039 alpha=90.00 beta=90.00 gamma=90.00
Space group P4/mbm (No. 127)
Asymmetric unit:
La 0.1726 0.3274 0.0000 (multiplicity 4)
Y 0.0000 0.0000 0.5000 (multiplicity 2)
Ag 0.1234 0.6234 0.5000 (multiplicity 4)

---

6.
A relaxed LaY2Ag crystal. Source: Alexandria via LeMat-Bulk, functional PBEsol.

* calculated formation energy: -0.09 eV/atom

Unit cell a=3.7220 b=5.3486 c=11.1876 alpha=90.00 beta=90.00 gamma=90.00
Space group Imm2 (No. 44)
Asymmetric unit:
La 0.0000 0.0000 0.0000 (multiplicity 2)
Y 0.0000 0.0000 0.4349 (multiplicity 2)
Y 0.0000 0.5000 0.2183 (multiplicity 2)
Ag 0.0000 0.5000 0.7292 (multiplicity 2)

---

7.
A relaxed LaY2Ag2 crystal. Source: Alexandria via LeMat-Bulk, functional PBEsol.

* calculated formation energy: -0.20 eV/atom

Unit cell a=8.2793 b=8.2793 c=3.7694 alpha=90.00 beta=90.00 gamma=90.00
Space group P4/mbm (No. 127)
Asymmetric unit:
La 0.0000 0.0000 0.0000 (multiplicity 2)
Y 0.1652 0.3348 0.5000 (multiplicity 4)
Ag 0.1235 0.6235 0.0000 (multiplicity 4)

---

8.
A relaxed LaZn3Ag crystal. Source: Alexandria via LeMat-Bulk, functional PBEsol.

* calculated formation energy: 1.22 eV/atom

Unit cell a=5.5397 b=5.5397 c=5.5397 alpha=90.00 beta=90.00 gamma=90.00
Space group Pm-3m (No. 221)
Asymmetric unit:
La 0.0000 0.0000 0.0000 (multiplicity 1)
Zn 0.0000 0.0000 0.5000 (multiplicity 3)
Ag 0.5000 0.5000 0.5000 (multiplicity 1)

---

9.
A relaxed La2ZnAg2 crystal. Source: Alexandria via LeMat-Bulk, functional PBEsol.

* calculated formation energy: -0.19 eV/atom

Unit cell a=7.6909 b=7.6909 c=4.2023 alpha=90.00 beta=90.00 gamma=90.00
Space group P4/mbm (No. 127)
Asymmetric unit:
La 0.1758 0.3242 0.0000 (multiplicity 4)
Zn 0.0000 0.0000 0.5000 (multiplicity 2)
Ag 0.1277 0.6277 0.5000 (multiplicity 4)

---

10.
A relaxed La2Zn2Ag crystal. Source: Alexandria via LeMat-Bulk, functional PBEsol.

* calculated formation energy: -0.25 eV/atom

Unit cell a=7.0292 b=7.0292 c=4.6735 alpha=90.00 beta=90.00 gamma=90.00
Space group P4/mbm (No. 127)
Asymmetric unit:
La 0.1651 0.3349 0.0000 (multiplicity 4)
Zn 0.1325 0.6325 0.5000 (multiplicity 4)
Ag 0.0000 0.0000 0.5000 (multiplicity 2)

---

11.
A relaxed LaZnAg2 crystal. Source: Alexandria via LeMat-Bulk, functional PBEsol.

* calculated formation energy: -0.18 eV/atom

Unit cell a=6.9318 b=6.9318 c=6.9318 alpha=90.00 beta=90.00 gamma=90.00
Space group F-43m (No. 216)
Asymmetric unit:
La 0.0000 0.0000 0.0000 (multiplicity 4)
Zn 0.2500 0.2500 0.7500 (multiplicity 4)
Ag 0.0000 0.0000 0.5000 (multiplicity 4)
Ag 0.2500 0.2500 0.2500 (multiplicity 4)

---

12.
A relaxed LaZn2Ag crystal. Source: Alexandria via LeMat-Bulk, functional PBEsol.

* calculated formation energy: -0.23 eV/atom

Unit cell a=4.4745 b=4.4745 c=14.4435 alpha=90.00 beta=90.00 gamma=120.00
Space group R3m (No. 160, hexagonal axes)
Asymmetric unit:
La 0.0000 0.0000 0.0000 (multiplicity 3)
Zn 0.0000 0.0000 0.4810 (multiplicity 3)
Zn 0.0000 0.0000 0.7880 (multiplicity 3)
Ag 0.0000 0.0000 0.2095 (multiplicity 3)

---

13.
A relaxed LaZn2Ag2 crystal. Source: Alexandria via LeMat-Bulk, functional PBEsol.

* calculated formation energy: -0.20 eV/atom

Unit cell a=4.2887 b=4.2887 c=11.1142 alpha=90.00 beta=90.00 gamma=90.00
Space group I4/mmm (No. 139)
Asymmetric unit:
La 0.0000 0.0000 0.0000 (multiplicity 2)
Zn 0.0000 0.5000 0.2500 (multiplicity 4)
Ag 0.0000 0.0000 0.3800 (multiplicity 4)

---

14.
A relaxed LaZnAg2 crystal. Source: Alexandria via LeMat-Bulk, functional PBEsol.

* calculated formation energy: -0.21 eV/atom

Unit cell a=4.5930 b=4.5930 c=14.1160 alpha=90.00 beta=90.00 gamma=120.00
Space group R3m (No. 160, hexagonal axes)
Asymmetric unit:
La 0.0000 0.0000 0.0000 (multiplicity 3)
Zn 0.0000 0.0000 0.2148 (multiplicity 3)
Ag 0.0000 0.0000 0.5211 (multiplicity 3)
Ag 0.0000 0.0000 0.7844 (multiplicity 3)

---

15.
A relaxed LaZn2Ag crystal. Source: Alexandria via LeMat-Bulk, functional PBEsol.

* calculated formation energy: -0.21 eV/atom

Unit cell a=4.7250 b=4.9957 c=6.8678 alpha=90.00 beta=90.00 gamma=90.00
Space group Imm2 (No. 44)
Asymmetric unit:
La 0.0000 0.0000 0.0000 (multiplicity 2)
Zn 0.0000 0.0000 0.5055 (multiplicity 2)
Zn 0.0000 0.5000 0.2332 (multiplicity 2)
Ag 0.0000 0.5000 0.7653 (multiplicity 2)

---

16.
A relaxed LaZnAg2 crystal. Source: Alexandria via LeMat-Bulk, functional PBEsol.

* calculated formation energy: 0.13 eV/atom

Unit cell a=5.8960 b=10.4023 c=3.1201 alpha=90.00 beta=118.09 gamma=90.00
Space group C2/m (No. 12)
Asymmetric unit:
La 0.0000 0.0000 0.0000 (multiplicity 2)
Zn 0.0000 0.5000 0.0000 (multiplicity 2)
Ag 0.2500 0.2500 0.5000 (multiplicity 4)

---

17.
A relaxed La2ZnAg crystal. Source: Alexandria via LeMat-Bulk, functional PBEsol.

* calculated formation energy: -0.21 eV/atom

Unit cell a=11.6587 b=3.7986 c=4.8897 alpha=90.00 beta=114.78 gamma=90.00
Space group Cm (No. 8)
Asymmetric unit:
La 0.0000 0.0000 0.0000 (multiplicity 2)
La 0.2031 0.0000 0.7024 (multiplicity 2)
Zn 0.4406 0.0000 0.4410 (multiplicity 2)
Ag 0.2650 0.5000 0.2642 (multiplicity 2)

---

18.
A relaxed LaZn2Ag crystal. Source: Alexandria via LeMat-Bulk, functional PBEsol.

* calculated formation energy: -0.26 eV/atom

Unit cell a=6.8180 b=6.8180 c=6.8180 alpha=90.00 beta=90.00 gamma=90.00
Space group Fm-3m (No. 225)
Asymmetric unit:
La 0.0000 0.0000 0.0000 (multiplicity 4)
Zn 0.2500 0.2500 0.2500 (multiplicity 8)
Ag 0.0000 0.0000 0.5000 (multiplicity 4)

---

19.
A relaxed LaZnAg crystal. Source: Alexandria via LeMat-Bulk, functional PBEsol.

* calculated formation energy: -0.32 eV/atom

Unit cell a=4.6873 b=4.6873 c=3.5017 alpha=90.00 beta=90.00 gamma=120.00
Space group P-6m2 (No. 187)
Asymmetric unit:
La 0.0000 0.0000 0.0000 (multiplicity 1)
Zn 0.3333 0.6667 0.5000 (multiplicity 1)
Ag 0.6667 0.3333 0.5000 (multiplicity 1)

---

20.
A relaxed LaZn2Ag crystal. Source: Alexandria via LeMat-Bulk, functional PBEsol.

* calculated formation energy: -0.16 eV/atom

Unit cell a=3.3150 b=3.3150 c=7.1044 alpha=90.00 beta=90.00 gamma=90.00
Space group P4/mmm (No. 123)
Asymmetric unit:
La 0.0000 0.0000 0.0000 (multiplicity 1)
Zn 0.5000 0.5000 0.3058 (multiplicity 2)
Ag 0.0000 0.0000 0.5000 (multiplicity 1)

---

Across the entries above, D(E_F) takes the values 1.41; 1.34; 1.43; 1.52; 1.11; 1.39; 1.18; 1.00; 0.95; 0.93; 0.97; 0.68; 0.75; 0.75; 0.50; 0.67; 0.87; 0.41; 0.61; 0.76 states/eV per atom, respectively.